Material: Tm2Re3Si5
Method: DFT, meta-GGA SCAN
State: PBEsol geometry

Raw formation energy   -0.607 eV/atom
VASP energy   -1492.41 eV for the cell shown

Geometry as POSCAR:
```
Tm2Re3Si5
1.0
5.408 0.000 0.000
0.000 10.878 0.000
0.000 0.000 10.878
Re Si Tm
12 20 8
Cartesian
1.352 0.000 5.439
2.704 9.279 1.335
0.000 6.774 3.840
2.704 1.599 9.543
4.056 5.439 0.000
0.000 3.840 4.104
1.352 5.439 0.000
0.000 7.038 6.774
0.000 4.104 7.038
2.704 9.543 9.279
2.704 1.335 1.599
4.056 0.000 5.439
0.000 5.767 8.848
1.352 7.312 1.873
2.704 3.409 0.328
1.280 0.000 0.000
3.984 5.439 5.439
0.000 5.111 2.030
4.056 3.566 9.005
1.352 1.873 3.566
2.704 0.328 7.469
4.056 1.873 3.566
1.352 9.005 7.312
0.000 8.848 5.111
1.352 3.566 9.005
0.000 2.030 5.767
1.424 5.439 5.439
4.128 0.000 0.000
2.704 7.469 10.551
4.056 9.005 7.312
4.056 7.312 1.873
2.704 10.551 3.409
0.000 10.032 2.576
2.704 2.863 6.286
0.000 2.576 0.847
2.704 4.592 2.863
2.704 8.015 4.592
0.000 8.302 10.032
0.000 0.847 8.302
2.704 6.286 8.015
```